1.
Material: ScAlGa
Method: DFT, GGA-PBE
State: relaxed

a = 3.966 Å, b = 3.966 Å, c = 7.073 Å
α = 90.00°, β = 90.00°, γ = 90.00°
Space group P4/nmm (No. 129, origin choice 2)
Asymmetric unit:
Sc: 0.250 0.250 0.161 [2 per cell]
Al: 0.250 0.750 0.500 [2 per cell]
Ga: 0.250 0.250 0.764 [2 per cell]

2.
Material: CaLa2As
Method: DFT, GGA-PBE
State: relaxed

a = 13.114 Å, b = 3.957 Å, c = 5.402 Å
α = 90.00°, β = 114.22°, γ = 90.00°
Space group C2/m (No. 12)
Asymmetric unit:
Ca: 0.000 0.000 0.000 [2 per cell]
La: 0.197 0.000 0.697 [4 per cell]
As: 0.000 0.500 0.500 [2 per cell]

3.
Material: Ni2I5
Method: DFT, GGA-PBE
State: relaxed

a = 20.081 Å, b = 6.509 Å, c = 6.898 Å
α = 90.00°, β = 99.36°, γ = 90.00°
Space group C2/c (No. 15)
Asymmetric unit:
Ni: 0.119 0.222 0.295 [8 per cell]
I: 0.000 0.069 0.250 [4 per cell]
I: 0.097 0.430 0.962 [8 per cell]
I: 0.180 0.060 0.621 [8 per cell]

- energy relative to the elements, uncorrected (eV per atom) = 0.025

In order of appearance, calculated total energy = -4.853; -4.661; -2.734 eV per atom.
In order of appearance, V = 18.5; 32.0; 31.8 A^3/atom.